Entry 1:
TbSmW | GGA-PBE | optimized geometry

Computed properties:
ΔE_f, eV/f.u.: 2.523
Polymorph energy (0 for the lowest one), eV per atom: 0.0000

Cell lengths 6.9343, 6.9343, 6.9343 Å; angles 90.00, 90.00, 90.00 degrees
Space group F-43m (No. 216)
Symmetry-distinct sites (fractional):
Tb  0.0000  0.0000  0.0000 x4
Sm  0.0000  0.0000  0.5000 x4
W  0.2500  0.2500  0.7500 x4



Entry 2:
Hg14C | GGA-PBE | optimized geometry

Cell lengths 10.7190, 10.7190, 13.2570 Å; angles 90.00, 90.00, 120.00 degrees
Space group R-3m (No. 166, hexagonal axes)
Symmetry-distinct sites (fractional):
Hg  0.0000  0.0000  0.1600 x6
Hg  0.0000  0.3497  0.5000 x18
Hg  0.1014  0.2028  0.6474 x18
C  0.0000  0.0000  0.0000 x3



Entry 3:
YNbGaCu | GGA-PBE | optimized geometry

Computed properties:
Polymorph energy (0 for the lowest one), eV per atom: 0.1017

Cell lengths 6.7818, 6.7818, 6.7818 Å; angles 90.00, 90.00, 90.00 degrees
Space group F-43m (No. 216)
Symmetry-distinct sites (fractional):
Y  0.0000  0.0000  0.0000 x4
Nb  0.2500  0.2500  0.7500 x4
Ga  0.2500  0.2500  0.2500 x4
Cu  0.0000  0.0000  0.5000 x4



Entry 4:
SmUAu | GGA-PBE | optimized geometry

Computed properties:
ΔE_f, eV/f.u.: 0.763
Polymorph energy (0 for the lowest one), eV per atom: 0.0000

Cell lengths 7.0806, 7.0806, 7.0806 Å; angles 90.00, 90.00, 90.00 degrees
Space group F-43m (No. 216)
Symmetry-distinct sites (fractional):
Sm  0.0000  0.0000  0.0000 x4
U  0.0000  0.0000  0.5000 x4
Au  0.2500  0.2500  0.2500 x4



Entry 5:
ReBiAsO | GGA-PBE | optimized geometry

Computed properties:
Polymorph energy (0 for the lowest one), eV per atom: 0.5669

Cell lengths 4.2069, 4.2069, 10.3447 Å; angles 90.00, 90.00, 90.00 degrees
Space group P4/nmm (No. 129, origin choice 2)
Symmetry-distinct sites (fractional):
Re  0.2500  0.2500  0.0412 x2
Bi  0.2500  0.7500  0.5000 x2
As  0.2500  0.2500  0.2586 x2
O  0.2500  0.7500  0.0000 x2



Entry 6:
TlAg15 | GGA-PBE | optimized geometry

Computed properties:
Polymorph energy (0 for the lowest one), eV per atom: 0.0194

Cell lengths 4.9935, 32.4263, 4.9875 Å; angles 90.00, 108.43, 90.00 degrees
Space group P2/c (No. 13)
Symmetry-distinct sites (fractional):
Tl  0.0000  0.1414  0.2500 x2
Ag  0.0000  0.2024  0.7500 x2
Ag  0.0000  0.2494  0.2500 x2
Ag  0.0000  0.2948  0.7500 x2
Ag  0.0000  0.3410  0.2500 x2
Ag  0.0000  0.3862  0.7500 x2
Ag  0.0000  0.4319  0.2500 x2
Ag  0.0000  0.4773  0.7500 x2
Ag  0.5000  0.1587  0.7500 x2
Ag  0.5000  0.2022  0.2500 x2
Ag  0.5000  0.2486  0.7500 x2
Ag  0.5000  0.2946  0.2500 x2
Ag  0.5000  0.3400  0.7500 x2
Ag  0.5000  0.3862  0.2500 x2
Ag  0.5000  0.4314  0.7500 x2
Ag  0.5000  0.4774  0.2500 x2



Entry 7:
Sc2CdOs | GGA-PBE | optimized geometry

Computed properties:
ΔE_f, eV/f.u.: -0.095

Cell lengths 6.6554, 6.6554, 6.6554 Å; angles 90.00, 90.00, 90.00 degrees
Space group F-43m (No. 216)
Symmetry-distinct sites (fractional):
Sc  0.0000  0.0000  0.0000 x4
Sc  0.2500  0.2500  0.2500 x4
Cd  0.2500  0.2500  0.7500 x4
Os  0.0000  0.0000  0.5000 x4



Entry 8:
PmTmNO | GGA-PBE | optimized geometry

Computed properties:
Polymorph energy (0 for the lowest one), eV per atom: 0.1065

Cell lengths 4.7086, 4.7086, 5.7838 Å; angles 90.00, 90.00, 90.00 degrees
Space group P4/nmm (No. 129, origin choice 2)
Symmetry-distinct sites (fractional):
Pm  0.2500  0.7500  0.0000 x2
Tm  0.2500  0.2500  0.4699 x2
N  0.2500  0.2500  0.1064 x2
O  0.2500  0.7500  0.5000 x2



Entry 9:
Dy2Sc2CBr2Cl3 | GGA-PBE | optimized geometry

Computed properties:
Polymorph energy (0 for the lowest one), eV per atom: 0.0350

Cell lengths 17.2107, 3.6397, 7.5236 Å; angles 90.00, 102.97, 90.00 degrees
Space group C2/m (No. 12)
Symmetry-distinct sites (fractional):
Dy  0.1406  0.0000  0.0784 x4
Sc  0.0000  0.5000  0.2013 x4
C  0.0000  0.0000  0.0000 x2
Br  0.1675  0.5000  0.8065 x4
Cl  0.0000  0.0000  0.5000 x2
Cl  0.1543  0.5000  0.3451 x4



Entry 10:
NaAg | GGA-PBE | optimized geometry

Cell lengths 3.0789, 3.0789, 5.0797 Å; angles 90.00, 90.00, 120.00 degrees
Space group P-6m2 (No. 187)
Symmetry-distinct sites (fractional):
Na  0.0000  0.0000  0.0000 x1
Ag  0.3333  0.6667  0.5000 x1



Entry 11:
MgNb2Ir | GGA-PBE | optimized geometry

Cell lengths 6.4621, 6.4621, 6.4621 Å; angles 90.00, 90.00, 90.00 degrees
Space group F-43m (No. 216)
Symmetry-distinct sites (fractional):
Mg  0.0000  0.0000  0.0000 x4
Nb  0.0000  0.0000  0.5000 x4
Nb  0.2500  0.2500  0.7500 x4
Ir  0.2500  0.2500  0.2500 x4



Entry 12:
Sc4Ta2Tl3N3 | GGA-PBE | optimized geometry

Cell lengths 9.8069, 5.6880, 14.7144 Å; angles 90.00, 102.83, 90.00 degrees
Space group C2/c (No. 15)
Symmetry-distinct sites (fractional):
Sc  0.1115  0.0773  0.0836 x8
Sc  0.2191  0.0872  0.4164 x8
Ta  0.0608  0.4150  0.9274 x8
Tl  0.0000  0.0973  0.7500 x4
Tl  0.1592  0.4240  0.2487 x8
N  0.0825  0.2513  0.4999 x8
N  0.2500  0.2500  0.0000 x4



Entry 13:
SbPPtO | GGA-PBE | optimized geometry

Computed properties:
Polymorph energy (0 for the lowest one), eV per atom: 0.2213

Cell lengths 3.7266, 6.7929, 6.2676 Å; angles 90.00, 90.00, 90.00 degrees
Space group Pmc2_1 (No. 26)
Symmetry-distinct sites (fractional):
Sb  0.0000  0.1922  0.0000 x2
P  0.0000  0.1825  0.4217 x2
Pt  0.5000  0.2608  0.6010 x2
O  0.5000  0.3228  0.9812 x2



Entry 14:
ZnHgTeO | GGA-PBE | optimized geometry

Computed properties:
Polymorph energy (0 for the lowest one), eV per atom: 0.1331

Cell lengths 2.9541, 19.2784, 5.7501 Å; angles 90.00, 90.00, 90.00 degrees
Space group Cmcm (No. 63)
Symmetry-distinct sites (fractional):
Zn  0.0000  0.0065  0.2500 x4
Hg  0.0000  0.3396  0.2500 x4
Te  0.0000  0.3275  0.7500 x4
O  0.0000  0.5000  0.0000 x4



Entry 15:
Hg3AsO4 | GGA-PBE | optimized geometry

Computed properties:
Polymorph energy (0 for the lowest one), eV per atom: 0.0000

Cell lengths 10.1771, 8.6832, 13.5907 Å; angles 90.00, 101.03, 90.00 degrees
Space group P2_1/c (No. 14)
Symmetry-distinct sites (fractional):
Hg  0.0065  0.2228  0.0904 x4
Hg  0.0066  0.5587  0.6492 x4
Hg  0.2347  0.5918  0.1647 x4
Hg  0.3135  0.1215  0.7950 x4
Hg  0.4089  0.5692  0.8305 x4
Hg  0.4476  0.2480  0.5408 x4
As  0.1349  0.0887  0.3994 x4
As  0.3330  0.5815  0.5894 x4
O  0.0085  0.1935  0.3255 x4
O  0.1271  0.0937  0.5249 x4
O  0.1293  0.5929  0.8500 x4
O  0.1960  0.7056  0.5660 x4
O  0.2897  0.1648  0.3876 x4
O  0.3203  0.0408  0.1879 x4
O  0.3348  0.0316  0.9861 x4
O  0.4687  0.7024  0.6214 x4



Entry 16:
TmLuSi2Ir | GGA-PBE | optimized geometry

Cell lengths 10.2130, 4.2086, 9.9512 Å; angles 90.00, 117.30, 90.00 degrees
Space group C2/m (No. 12)
Symmetry-distinct sites (fractional):
Tm  0.1900  0.0000  0.1133 x4
Lu  0.0057  0.0000  0.3273 x4
Si  0.0145  0.5000  0.8840 x4
Si  0.1412  0.5000  0.5553 x4
Ir  0.2296  0.5000  0.3450 x4



Entry 17:
ZnTePtO | GGA-PBE | optimized geometry

Computed properties:
Polymorph energy (0 for the lowest one), eV per atom: 0.2860

Cell lengths 6.4667, 6.1138, 7.7364 Å; angles 90.00, 93.57, 90.00 degrees
Space group Cm (No. 8)
Symmetry-distinct sites (fractional):
Zn  0.0000  0.0000  0.0000 x2
Zn  0.0847  0.5000  0.5368 x2
Te  0.0509  0.5000  0.9800 x2
Te  0.4694  0.5000  0.6687 x2
Pt  0.2700  0.2198  0.1868 x4
O  0.2734  0.5000  0.3319 x2
O  0.3296  0.0000  0.3916 x2



Entry 18:
BaGaSnPd2 | GGA-PBE | optimized geometry

Computed properties:
Polymorph energy (0 for the lowest one), eV per atom: 0.0000

Cell lengths 4.6852, 4.6852, 10.6534 Å; angles 90.00, 90.00, 90.00 degrees
Space group P4/nmm (No. 129, origin choice 2)
Symmetry-distinct sites (fractional):
Ba  0.2500  0.2500  0.2346 x2
Ga  0.2500  0.2500  0.8901 x2
Sn  0.2500  0.7500  0.5000 x2
Pd  0.2500  0.2500  0.6421 x2
Pd  0.2500  0.7500  0.0000 x2



Entry 19:
Mo2PbC | GGA-PBE | optimized geometry

Cell lengths 3.2325, 5.5989, 13.8382 Å; angles 90.00, 90.42, 90.00 degrees
Space group C2/c (No. 15)
Symmetry-distinct sites (fractional):
Mo  0.0029  0.1668  0.0774 x8
Pb  0.0000  0.1670  0.7500 x4
C  0.0000  0.5000  0.0000 x4



Entry 20:
ScTa2Ga | GGA-PBE | optimized geometry

Cell lengths 6.6254, 6.6254, 6.6254 Å; angles 90.00, 90.00, 90.00 degrees
Space group F-43m (No. 216)
Symmetry-distinct sites (fractional):
Sc  0.0000  0.0000  0.0000 x4
Ta  0.0000  0.0000  0.5000 x4
Ta  0.2500  0.2500  0.2500 x4
Ga  0.2500  0.2500  0.7500 x4



Number 1: VASP energy -79.1 eV/cell, mass density 9.82 g/cm³. Number 2: VASP energy -20.4 eV/cell, mass density 10.65 g/cm³. Number 3: VASP energy -87.1 eV/cell, mass density 6.71 g/cm³. Number 4: VASP energy -74.0 eV/cell, mass density 10.95 g/cm³. Number 5: VASP energy -50.0 eV/cell, mass density 8.82 g/cm³. Number 6: VASP energy -87.6 eV/cell, mass density 7.90 g/cm³. Number 7: VASP energy -99.5 eV/cell, mass density 8.84 g/cm³. Number 8: VASP energy -61.7 eV/cell, mass density 8.91 g/cm³. Number 9: VASP energy -111.0 eV/cell, mass density 5.01 g/cm³. Number 10: VASP energy -4.0 eV/cell, mass density 5.21 g/cm³. Number 11: VASP energy -122.9 eV/cell, mass density 9.90 g/cm³. Number 12: VASP energy -368.9 eV/cell, mass density 9.93 g/cm³. Number 13: VASP energy -43.0 eV/cell, mass density 7.62 g/cm³. Number 14: VASP energy -46.1 eV/cell, mass density 8.31 g/cm³. Number 15: VASP energy -247.6 eV/cell, mass density 8.35 g/cm³. Number 16: VASP energy -134.5 eV/cell, mass density 10.35 g/cm³. Number 17: VASP energy -66.4 eV/cell, mass density 8.79 g/cm³. Number 18: VASP energy -45.6 eV/cell, mass density 7.65 g/cm³. Number 19: VASP energy -135.0 eV/cell, mass density 10.90 g/cm³. Number 20: VASP energy -132.8 eV/cell, mass density 10.88 g/cm³.